First-principles (PBE-GGA) data for a relaxed Sc8Zn2Ir crystal, as listed in Alexandria via LeMat-Bulk.

Summary:
- VASP energy (eV per cell) = -129.12
- E above lowest polymorph (eV/f.u.) = 1.29
- formation energy from the elements (meV per atom) = -227

abc: 7.8810 13.0021 5.0636
angles: 90.00 114.02 90.00
Closest atoms and distances in Å follow each position.
Space group Cm (No. 8)
Symmetry-distinct sites (fractional):
Sc (0.0000, 0.0000, 0.0000)  1 Ir 2.66, 1 Sc 2.87, 2 Zn 2.95
Sc (0.0794, 0.3842, 0.8269)  2 Zn 2.81-2.85, 4 Sc 3.01-3.11
Sc (0.1580, 0.1157, 0.5804)  2 Zn 2.81-2.85, 4 Sc 3.01-3.11
Sc (0.2369, 0.5000, 0.4071)  1 Ir 2.66, 1 Sc 2.87, 2 Zn 2.95
Sc (0.3687, 0.2011, 0.2037)  1 Ir 2.62, 2 Zn 2.85
Zn (0.3687, 0.3016, 0.7038)  8 Sc 2.81-2.95
Ir (0.3685, 0.0000, 0.2053)  4 Sc 2.62-2.66

=====

First-principles (PBE-GGA) data for a relaxed ScZnIr crystal, as listed in Alexandria via LeMat-Bulk.

Summary:
- VASP energy (eV per cell) = -36.70
- formation energy from the elements (meV per atom) = -627

abc: 3.0922 3.6715 8.6145
angles: 90.00 90.00 90.00
Closest atoms and distances in Å follow each position.
Space group Imm2 (No. 44)
Symmetry-distinct sites (fractional):
Sc (0.0000, 0.0000, 0.0000)  5 Zn 2.74-2.87, 5 Ir 2.77-2.93
Zn (0.0000, 0.0000, 0.6820)  5 Sc 2.74-2.87, 5 Ir 2.76-2.94
Ir (0.0000, 0.0000, 0.3405)  5 Zn 2.76-2.94, 5 Sc 2.77-2.93, 2 Ir 3.09

=====

First-principles (PBE-GGA) data for a relaxed Sc5ZnIr6 crystal, as listed in Alexandria via LeMat-Bulk.

Summary:
- VASP energy (eV per cell) = -193.54
- formation energy from the elements (meV per atom) = -889

abc: 4.5440 6.3433 13.6035
angles: 90.00 90.00 90.00
Closest atoms and distances in Å follow each position.
Space group Immm (No. 71)
Symmetry-distinct sites (fractional):
Sc (0.0000, 0.0000, 0.0000)  8 Ir 2.77
Sc (0.0000, 0.0000, 0.3386)  8 Ir 2.71-2.83
Sc (0.0000, 0.5000, 0.3324)  8 Ir 2.76-2.77
Zn (0.0000, 0.5000, 0.0000)  8 Ir 2.76-2.77
Ir (0.0000, 0.2502, 0.1665)  7 Sc 2.76-2.83, 1 Zn 2.76
Ir (0.0000, 0.2511, 0.5000)  6 Sc 2.71-2.77, 2 Zn 2.77

=====

- The highest VASP energy belongs to which entry?
  ScZnIr